[1]
4
Lattice="2.9394 0.0000 0.0000 0.0000 3.6274 0.0000 0.0000 0.0000 7.1854" Properties=species:S:1:pos:R:3 comment="KCu2Se PBEsol relaxed" sg=Pmm2 formation_energy_uncorrected_ev_per_atom=0.074 pbc="T T T"
K 0.0000 0.0000 0.0000
Cu 0.0000 0.0000 3.7316
Cu 1.4697 1.8137 4.6926
Se 1.4697 1.8137 2.2766


[2]
4
Lattice="2.8962 0.0000 0.0000 0.0000 3.8447 0.0000 0.0000 0.0000 7.2358" Properties=species:S:1:pos:R:3 comment="KCu2Se PBEsol relaxed" sg=Pmmm formation_energy_uncorrected_ev_per_atom=0.359 pbc="T T T"
K 0.0000 0.0000 0.0000
Cu 1.4481 1.9223 2.3958
Cu 1.4481 1.9223 4.8400
Se 0.0000 0.0000 3.6179


[3]
5
Lattice="5.4276 0.0000 0.0000 0.0000 5.4276 0.0000 0.0000 0.0000 5.4276" Properties=species:S:1:pos:R:3 comment="KCuSe3 PBEsol relaxed" sg=Pm-3m formation_energy_uncorrected_ev_per_atom=1.398 pbc="T T T"
K 0.0000 0.0000 0.0000
Cu 2.7138 2.7138 2.7138
Se 0.0000 0.0000 2.7138
Se 0.0000 2.7138 0.0000
Se 2.7138 0.0000 0.0000


[4]
5
Lattice="-3.1072 3.1072 3.4403 3.1072 -3.1072 3.4403 3.1072 3.1072 -3.4403" Properties=species:S:1:pos:R:3 comment="K2Cu2Se PBEsol relaxed" sg=I4/mmm formation_energy_uncorrected_ev_per_atom=-0.147 pbc="T T T"
K 3.1072 0.0000 1.7202
K 0.0000 3.1072 1.7202
Cu 0.0000 0.0000 1.1327
Cu 0.0000 0.0000 5.7480
Se 0.0000 0.0000 3.4403


> Which formula does entry 2 have?

KCu2Se